This record from the Alexandria database describes an optimized crystal structure of Sr2La2MgMnO8. The functional is GGA+U.

Output
crystal system	monoclinic
uncorrected energy	-200.8	eV per cell
spin magnetization	3.05	μB/f.u.
distance to the lowest polymorph of the same formula	0.32	eV per formula unit

abc: 6.885 6.885 15.587
angles: 106.79 106.79 32.88
Atoms (fractional coordinates):
Sr (0.143, 0.143, 0.036)
Sr (0.145, 0.145, 0.786)
Sr (0.855, 0.855, 0.214)
Sr (0.857, 0.857, 0.964)
La (0.137, 0.137, 0.536)
La (0.138, 0.138, 0.288)
La (0.862, 0.862, 0.712)
La (0.863, 0.863, 0.464)
Mg (0.495, 0.495, 0.372)
Mg (0.505, 0.505, 0.628)
Mn (0.498, 0.498, 0.124)
Mn (0.502, 0.502, 0.876)
O (0.003, 0.003, 0.126)
O (0.004, 0.004, 0.374)
O (0.322, 0.322, 0.338)
O (0.322, 0.322, 0.583)
O (0.342, 0.342, 0.084)
O (0.343, 0.343, 0.830)
O (0.500, 0.500, 0.000)
O (0.500, 0.500, 0.244)
O (0.500, 0.500, 0.500)
O (0.500, 0.500, 0.756)
O (0.657, 0.657, 0.170)
O (0.658, 0.658, 0.916)
O (0.678, 0.678, 0.417)
O (0.678, 0.678, 0.662)
O (0.996, 0.996, 0.626)
O (0.997, 0.997, 0.874)